Compound: Ag5Hg2Au6
Source: Alexandria via LeMat-Bulk
Functional: PBE-GGA
Structure: optimized geometry

For the formation energy, the calculation gives 0.73 kcal/mol of atoms.

The space group is Pbam (No. 55) and the conventional cell measures 9.747, 17.553 and 2.909 Å, with angles of 90.00, 90.00 and 90.00 degrees. The asymmetric unit holds Ag at (0.000, 0.000, 0.000), Ag at (0.088, 0.278, 0.000), Ag at (0.209, 0.548, 0.000), Hg at (0.170, 0.711, 0.500), Au at (0.054, 0.424, 0.500), Au at (0.065, 0.134, 0.500) and Au at (0.195, 0.884, 0.000).

---

Compound: Ti3VTc
Source: Alexandria via LeMat-Bulk
Functional: PBE-GGA
Structure: optimized geometry

For the formation energy, the calculation gives 1.39 kcal/mol of atoms. For the excess energy over the best structure of this formula in the dataset, the calculation gives 263 meV/atom.

The space group is Pmmn (No. 59, origin choice 2) and the conventional cell measures 4.239, 6.915 and 5.595 Å, with angles of 90.00, 90.00 and 90.00 degrees. The asymmetric unit holds Ti at (0.250, 0.055, 0.232), Ti at (0.250, 0.250, 0.730), V at (0.250, 0.750, 0.527) and Tc at (0.250, 0.750, 0.992).

---

Compound: Ba2InIO6
Source: Alexandria via LeMat-Bulk
Functional: PBE-GGA
Structure: optimized geometry

The value obtained for the total DFT energy (no corrections) is -5.3811 eV per atom.

The space group is R-3m (No. 166, hexagonal axes) and the conventional cell measures 6.1188, 6.1188 and 30.7007 Å, with angles of 90.00, 90.00 and 120.00 degrees. The asymmetric unit holds Ba at (0.0000, 0.0000, 0.1269), Ba at (0.0000, 0.0000, 0.2786), In at (0.0000, 0.0000, 0.4056), I at (0.0000, 0.0000, 0.0000), I at (0.0000, 0.0000, 0.5000), O at (0.0177, 0.5088, 0.1235) and O at (0.0209, 0.5104, 0.7075).

---

Compound: Ce6TlAg2
Source: Alexandria via LeMat-Bulk
Functional: PBE-GGA
Structure: optimized geometry

For the formation energy, the calculation gives -1.46 kcal/mol of atoms.

The space group is P-1 (No. 2) and the conventional cell measures 5.919, 5.923 and 6.816 Å, with angles of 98.29, 96.45 and 99.09 degrees. The asymmetric unit holds Ce at (0.011, 0.191, 0.356), Ce at (0.159, 0.656, 0.121), Ce at (0.310, 0.498, 0.647), Tl at (0.500, 0.000, 0.500) and Ag at (0.336, 0.157, 0.992).

---

Compound: ZrTe2Rh
Source: Alexandria via LeMat-Bulk
Functional: PBE-GGA
Structure: optimized geometry

For the excess energy over the best structure of this formula in the dataset, the calculation gives 717 meV/atom.

The space group is F-43m (No. 216) and the conventional cell measures 7.055, 7.055 and 7.055 Å, with angles of 90.00, 90.00 and 90.00 degrees. The asymmetric unit holds Zr at (0.000, 0.000, 0.000), Te at (0.000, 0.000, 0.500), Te at (0.250, 0.250, 0.750) and Rh at (0.250, 0.250, 0.250).

---

Compound: NaMoBr2
Source: Alexandria via LeMat-Bulk
Functional: PBE-GGA
Structure: optimized geometry

For the excess energy over the best structure of this formula in the dataset, the calculation gives 0 meV/atom.

The space group is R-3m (No. 166, hexagonal axes) and the conventional cell measures 3.4230, 3.4230 and 31.0200 Å, with angles of 90.00, 90.00 and 120.00 degrees. The asymmetric unit holds Na at (0.0000, 0.0000, 0.0000), Mo at (0.0000, 0.0000, 0.5000) and Br at (0.0000, 0.0000, 0.1099).